No. 1
A relaxed Li2CrSi crystal, computed with PBE-GGA.

Structure (extended XYZ):
```
4
Lattice="-1.585 -2.785 2.376 2.095 0.595 2.095 -2.686 3.076 1.814" Properties=species:S:1:pos:R:3 pbc="T T T"
Cr -0.638 1.050 4.154
Li 1.497 0.905 2.059
Li -0.342 -0.785 2.200
Si -0.894 2.145 1.919
```

## Properties
energy	-4.709	eV/atom
space-group type	Pmmm, No. 47

---

No. 2
A relaxed NaSr2CuBr crystal, computed with PBE-GGA.

Structure (extended XYZ):
```
5
Lattice="5.927 0.000 0.000 0.000 5.665 0.000 0.000 0.000 5.927" Properties=species:S:1:pos:R:3 pbc="T T T"
Br 0.000 2.833 0.000
Na 2.963 2.833 2.963
Sr 2.963 0.000 0.000
Sr 0.000 0.000 2.963
Cu 0.000 0.000 0.000
```

## Properties
energy	-2.191	eV/atom
space-group type	P4/mmm, No. 123

---

No. 3
A relaxed RbPmSO crystal, computed with PBE-GGA.

Structure (extended XYZ):
```
4
Lattice="-2.944 -0.352 -2.475 -0.279 -1.481 3.555 -0.785 7.187 2.920" Properties=species:S:1:pos:R:3 pbc="T T T"
Rb -3.237 1.700 0.026
Pm -1.629 5.098 3.653
S -0.621 -0.956 3.319
O -2.153 4.646 1.327
```

## Properties
energy	-5.808	eV/atom
space-group type	Cm, No. 8

---

No. 4
A relaxed K2BaNaAs crystal, computed with PBE-GGA.

Structure (extended XYZ):
```
5
Lattice="-2.872 -5.760 1.045 5.793 -2.628 1.433 -0.828 1.528 6.147" Properties=species:S:1:pos:R:3 pbc="T T T"
K -1.436 -2.880 0.522
K 2.896 -1.314 0.717
Ba -0.414 0.764 3.074
As 0.000 0.000 0.000
Na 1.046 -3.430 4.313
```

## Properties
DFT formation energy	-0.285	eV/atom
space-group type	P4/mmm, No. 123